{
  "formula": "La3Lu2Ga3O12",
  "functional": "GGA-PBE",
  "state": "relaxed",
  "dos_at_fermi_per_ev_atom": 0.00,
  "energy_ev_per_atom": -7.62,
  "space_group": "Ia-3d",
  "cell": [[11.3538, 0.0000, 0.0000], [-3.7846, 10.7045, 0.0000], [-3.7846, -5.3523, 9.2704]],
  "species": ["La", "La", "La", "La", "La", "La", "La", "La", "La", "La", "La", "La", "Lu", "Lu", "Lu", "Lu", "Lu", "Lu", "Lu", "Lu", "Ga", "Ga", "Ga", "Ga", "Ga", "Ga", "Ga", "Ga", "Ga", "Ga", "Ga", "Ga", "O", "O", "O", "O", "O", "O", "O", "O", "O", "O", "O", "O", "O", "O", "O", "O", "O", "O", "O", "O", "O", "O", "O", "O", "O", "O", "O", "O", "O", "O", "O", "O", "O", "O", "O", "O", "O", "O", "O", "O", "O", "O", "O", "O", "O", "O", "O", "O"],
  "fractional_positions": [[0.2500, 0.3750, 0.1250], [0.7500, 0.6250, 0.8750], [0.7500, 0.1250, 0.3750], [0.1250, 0.2500, 0.3750], [0.3750, 0.7500, 0.1250], [0.2500, 0.8750, 0.6250], [0.8750, 0.7500, 0.6250], [0.6250, 0.2500, 0.8750], [0.3750, 0.1250, 0.2500], [0.6250, 0.8750, 0.7500], [0.1250, 0.3750, 0.7500], [0.8750, 0.6250, 0.2500], [0.0000, 0.0000, 0.0000], [0.5000, 0.0000, 0.5000], [0.0000, 0.5000, 0.5000], [0.5000, 0.0000, 0.0000], [0.5000, 0.5000, 0.0000], [0.5000, 0.5000, 0.5000], [0.0000, 0.0000, 0.5000], [0.0000, 0.5000, 0.0000], [0.2500, 0.6250, 0.3750], [0.7500, 0.3750, 0.6250], [0.7500, 0.8750, 0.1250], [0.3750, 0.2500, 0.6250], [0.6250, 0.7500, 0.3750], [0.2500, 0.1250, 0.8750], [0.1250, 0.7500, 0.8750], [0.8750, 0.2500, 0.1250], [0.6250, 0.3750, 0.2500], [0.3750, 0.6250, 0.7500], [0.8750, 0.1250, 0.7500], [0.1250, 0.8750, 0.2500], [0.4757, 0.3753, 0.2888], [0.5243, 0.6247, 0.7112], [0.5865, 0.1869, 0.2112], [0.9135, 0.1247, 0.6004], [0.2888, 0.4757, 0.3753], [0.3131, 0.9135, 0.2888], [0.4135, 0.8131, 0.7888], [0.0865, 0.8753, 0.3996], [0.7112, 0.5243, 0.6247], [0.6869, 0.0865, 0.7112], [0.0243, 0.3131, 0.8996], [0.2112, 0.5865, 0.1869], [0.1247, 0.0243, 0.2112], [0.9757, 0.6869, 0.1004], [0.7888, 0.4135, 0.8131], [0.8753, 0.9757, 0.7888], [0.6004, 0.9135, 0.1247], [0.1869, 0.4757, 0.6004], [0.3996, 0.0865, 0.8753], [0.8131, 0.5243, 0.3996], [0.8996, 0.0243, 0.3131], [0.3753, 0.5865, 0.8996], [0.1004, 0.9757, 0.6869], [0.6247, 0.4135, 0.1004], [0.3753, 0.2888, 0.4757], [0.5865, 0.8996, 0.3753], [0.6247, 0.7112, 0.5243], [0.4135, 0.1004, 0.6247], [0.1247, 0.6004, 0.9135], [0.0243, 0.2112, 0.1247], [0.8753, 0.3996, 0.0865], [0.9757, 0.7888, 0.8753], [0.3131, 0.8996, 0.0243], [0.9135, 0.2888, 0.3131], [0.6869, 0.1004, 0.9757], [0.0865, 0.7112, 0.6869], [0.1869, 0.2112, 0.5865], [0.4757, 0.6004, 0.1869], [0.8131, 0.7888, 0.4135], [0.5243, 0.3996, 0.8131], [0.2888, 0.3131, 0.9135], [0.7112, 0.6869, 0.0865], [0.2112, 0.1247, 0.0243], [0.7888, 0.8753, 0.9757], [0.8996, 0.3753, 0.5865], [0.1004, 0.6247, 0.4135], [0.6004, 0.1869, 0.4757], [0.3996, 0.8131, 0.5243]]
}